Computed, not measured: a geometry-optimized BaCo4Ir structure at the PBE level of DFT.

Summary:
The value obtained for the total energy is -5.92 eV per atom. For the total moment, the calculation gives 7.55 μB per formula unit. As for the energy relative to the elements: 0.612 eV/atom.

abc: 5.095 5.095 5.095
angles: 60.00 60.00 60.00
Atoms (fractional coordinates):
Co 0.377 0.869 0.377
Co 0.377 0.377 0.869
Co 0.377 0.377 0.377
Ba 0.000 0.000 0.000
Co 0.869 0.377 0.377
Ir 0.750 0.750 0.750